No. 1
# Ta8Ni

Crystalline Ta8Ni at its relaxed geometry (GGA-PBEsol, the Alexandria database).

The structure in CIF format:
```
data_Ta8Ni
_chemical_formula_sum 'Ta8 Ni1'
_symmetry_space_group_name_H-M 'P 1'
_symmetry_Int_Tables_number 1
_symmetry_space_group_name_Hall 'P 1'
_cell_length_a 6.9436
_cell_length_b 6.9436
_cell_length_c 6.9436
_cell_angle_alpha 93.34
_cell_angle_beta 93.34
_cell_angle_gamma 152.08
loop_
_atom_site_label
_atom_site_fract_x
_atom_site_fract_y
_atom_site_fract_z
Ta1 0.0000 0.3300 0.3300
Ta2 0.0000 0.6700 0.6700
Ta3 0.3300 0.0000 0.3300
Ta4 0.3367 0.3367 0.6734
Ta5 0.3367 0.6633 0.0000
Ta6 0.6633 0.3367 0.0000
Ta7 0.6633 0.6633 0.3266
Ta8 0.6700 0.0000 0.6700
Ni1 0.0000 0.0000 0.0000
```

Summary:
Its formation energy is -0.028 eV/atom.

=====

No. 2
# TaNi2

Crystalline TaNi2 at its relaxed geometry (GGA-PBEsol, the Alexandria database).

The structure in CIF format:
```
data_TaNi2
_chemical_formula_sum 'Ta1 Ni2'
_symmetry_space_group_name_H-M 'P 1'
_symmetry_Int_Tables_number 1
_symmetry_space_group_name_Hall 'P 1'
_cell_length_a 4.0877
_cell_length_b 4.0877
_cell_length_c 2.6285
_cell_angle_alpha 90.00
_cell_angle_beta 90.00
_cell_angle_gamma 120.00
loop_
_atom_site_label
_atom_site_fract_x
_atom_site_fract_y
_atom_site_fract_z
Ta1 0.0000 0.0000 0.0000
Ni1 0.3333 0.6667 0.4893
Ni2 0.6667 0.3333 0.5107
```

Summary:
Its formation energy is -0.191 eV/atom.

=====

No. 3
# TaNi7

Crystalline TaNi7 at its relaxed geometry (GGA-PBEsol, the Alexandria database).

The structure in CIF format:
```
data_TaNi7
_chemical_formula_sum 'Ta1 Ni7'
_symmetry_space_group_name_H-M 'P 1'
_symmetry_Int_Tables_number 1
_symmetry_space_group_name_Hall 'P 1'
_cell_length_a 5.0189
_cell_length_b 5.0189
_cell_length_c 5.0189
_cell_angle_alpha 60.00
_cell_angle_beta 60.00
_cell_angle_gamma 60.00
loop_
_atom_site_label
_atom_site_fract_x
_atom_site_fract_y
_atom_site_fract_z
Ta1 0.0000 0.0000 0.0000
Ni1 0.0000 0.0000 0.5000
Ni2 0.0000 0.5000 0.0000
Ni3 0.0000 0.5000 0.5000
Ni4 0.5000 0.0000 0.0000
Ni5 0.5000 0.0000 0.5000
Ni6 0.5000 0.5000 0.0000
Ni7 0.5000 0.5000 0.5000
```

Summary:
Its formation energy is -0.135 eV/atom.

=====

No. 4
# TaNi3

Crystalline TaNi3 at its relaxed geometry (GGA-PBEsol, the Alexandria database).

The structure in CIF format:
```
data_TaNi3
_chemical_formula_sum 'Ta2 Ni6'
_symmetry_space_group_name_H-M 'P 1'
_symmetry_Int_Tables_number 1
_symmetry_space_group_name_Hall 'P 1'
_cell_length_a 4.1907
_cell_length_b 5.0445
_cell_length_c 4.4911
_cell_angle_alpha 90.00
_cell_angle_beta 90.00
_cell_angle_gamma 90.00
loop_
_atom_site_label
_atom_site_fract_x
_atom_site_fract_y
_atom_site_fract_z
Ta1 0.2500 0.2500 0.1515
Ta2 0.7500 0.7500 0.8485
Ni1 0.2500 0.0004 0.6588
Ni2 0.2500 0.4996 0.6588
Ni3 0.2500 0.7500 0.1814
Ni4 0.7500 0.9996 0.3412
Ni5 0.7500 0.2500 0.8186
Ni6 0.7500 0.5004 0.3412
```

Summary:
Its formation energy is -0.382 eV/atom.

=====

No. 5
# TaTc2Ni

Crystalline TaTc2Ni at its relaxed geometry (GGA-PBEsol, the Alexandria database).

The structure in CIF format:
```
data_TaTc2Ni
_chemical_formula_sum 'Ta1 Tc2 Ni1'
_symmetry_space_group_name_H-M 'P 1'
_symmetry_Int_Tables_number 1
_symmetry_space_group_name_Hall 'P 1'
_cell_length_a 5.0980
_cell_length_b 5.0980
_cell_length_c 2.6483
_cell_angle_alpha 100.71
_cell_angle_beta 100.71
_cell_angle_gamma 118.64
loop_
_atom_site_label
_atom_site_fract_x
_atom_site_fract_y
_atom_site_fract_z
Ta1 0.0000 0.0000 0.0000
Tc1 0.0000 0.5000 0.5000
Tc2 0.5000 0.0000 0.5000
Ni1 0.5000 0.5000 0.0000
```

Summary:
Its formation energy is 0.022 eV/atom.

=====

No. 6
# Ta2TcNi

Crystalline Ta2TcNi at its relaxed geometry (GGA-PBEsol, the Alexandria database).

The structure in CIF format:
```
data_Ta2TcNi
_chemical_formula_sum 'Ta2 Tc1 Ni1'
_symmetry_space_group_name_H-M 'P 1'
_symmetry_Int_Tables_number 1
_symmetry_space_group_name_Hall 'P 1'
_cell_length_a 2.7419
_cell_length_b 2.7419
_cell_length_c 8.2861
_cell_angle_alpha 90.00
_cell_angle_beta 90.00
_cell_angle_gamma 107.27
loop_
_atom_site_label
_atom_site_fract_x
_atom_site_fract_y
_atom_site_fract_z
Ta1 0.0000 0.0000 0.2384
Ta2 0.0000 0.0000 0.7616
Tc1 0.5000 0.5000 0.5000
Ni1 0.5000 0.5000 0.0000
```

Summary:
Its formation energy is -0.126 eV/atom.

=====

No. 7
# Ta2TcNi

Crystalline Ta2TcNi at its relaxed geometry (GGA-PBEsol, the Alexandria database).

The structure in CIF format:
```
data_Ta2TcNi
_chemical_formula_sum 'Ta2 Tc1 Ni1'
_symmetry_space_group_name_H-M 'P 1'
_symmetry_Int_Tables_number 1
_symmetry_space_group_name_Hall 'P 1'
_cell_length_a 3.1997
_cell_length_b 3.1997
_cell_length_c 5.8322
_cell_angle_alpha 90.00
_cell_angle_beta 90.00
_cell_angle_gamma 90.00
loop_
_atom_site_label
_atom_site_fract_x
_atom_site_fract_y
_atom_site_fract_z
Ta1 0.0000 0.0000 0.0000
Ta2 0.5000 0.5000 0.2993
Tc1 0.0000 0.0000 0.5343
Ni1 0.5000 0.5000 0.7904
```

Summary:
Its formation energy is -0.128 eV/atom.

=====

No. 8
# Ta2TcNi

Crystalline Ta2TcNi at its relaxed geometry (GGA-PBEsol, the Alexandria database).

The structure in CIF format:
```
data_Ta2TcNi
_chemical_formula_sum 'Ta2 Tc1 Ni1'
_symmetry_space_group_name_H-M 'P 1'
_symmetry_Int_Tables_number 1
_symmetry_space_group_name_Hall 'P 1'
_cell_length_a 3.1613
_cell_length_b 3.1613
_cell_length_c 5.9532
_cell_angle_alpha 90.00
_cell_angle_beta 90.00
_cell_angle_gamma 90.00
loop_
_atom_site_label
_atom_site_fract_x
_atom_site_fract_y
_atom_site_fract_z
Ta1 0.0000 0.0000 0.2445
Ta2 0.0000 0.0000 0.7555
Tc1 0.5000 0.5000 0.5000
Ni1 0.5000 0.5000 0.0000
```

Summary:
Its formation energy is -0.261 eV/atom.

=====

No. 9
# TaTcNi

Crystalline TaTcNi at its relaxed geometry (GGA-PBEsol, the Alexandria database).

The structure in CIF format:
```
data_TaTcNi
_chemical_formula_sum 'Ta1 Tc1 Ni1'
_symmetry_space_group_name_H-M 'P 1'
_symmetry_Int_Tables_number 1
_symmetry_space_group_name_Hall 'P 1'
_cell_length_a 6.3832
_cell_length_b 6.2671
_cell_length_c 2.6595
_cell_angle_alpha 80.32
_cell_angle_beta 75.43
_cell_angle_gamma 24.25
loop_
_atom_site_label
_atom_site_fract_x
_atom_site_fract_y
_atom_site_fract_z
Ta1 0.0000 0.0000 0.0000
Tc1 0.3169 0.3169 0.6831
Ni1 0.6633 0.6633 0.3367
```

Summary:
Its formation energy is -0.031 eV/atom.

=====

No. 10
# TaNiTe2

Crystalline TaNiTe2 at its relaxed geometry (GGA-PBEsol, the Alexandria database).

The structure in CIF format:
```
data_TaNiTe2
_chemical_formula_sum 'Ta1 Ni1 Te2'
_symmetry_space_group_name_H-M 'P 1'
_symmetry_Int_Tables_number 1
_symmetry_space_group_name_Hall 'P 1'
_cell_length_a 4.7386
_cell_length_b 4.7386
_cell_length_c 4.7386
_cell_angle_alpha 60.00
_cell_angle_beta 60.00
_cell_angle_gamma 60.00
loop_
_atom_site_label
_atom_site_fract_x
_atom_site_fract_y
_atom_site_fract_z
Ta1 0.0000 0.0000 0.0000
Ni1 0.5000 0.5000 0.5000
Te1 0.2500 0.2500 0.2500
Te2 0.7500 0.7500 0.7500
```

Summary:
The relative energy among the computed polymorphs comes out at 678.5 meV per atom. The uncorrected formation energy is 0.280 eV per atom.

=====

No. 11
# TaNiTe2

Crystalline TaNiTe2 at its relaxed geometry (GGA-PBEsol, the Alexandria database).

The structure in CIF format:
```
data_TaNiTe2
_chemical_formula_sum 'Ta4 Ni4 Te8'
_symmetry_space_group_name_H-M 'P 1'
_symmetry_Int_Tables_number 1
_symmetry_space_group_name_Hall 'P 1'
_cell_length_a 7.8683
_cell_length_b 7.2705
_cell_length_c 6.1622
_cell_angle_alpha 90.00
_cell_angle_beta 90.00
_cell_angle_gamma 90.00
loop_
_atom_site_label
_atom_site_fract_x
_atom_site_fract_y
_atom_site_fract_z
Ta1 0.2068 0.0000 0.0000
Ta2 0.2932 0.0000 0.5000
Ta3 0.7068 0.0000 0.5000
Ta4 0.7932 0.0000 0.0000
Ni1 0.0000 0.1180 0.3544
Ni2 0.0000 0.8820 0.6456
Ni3 0.5000 0.1180 0.1456
Ni4 0.5000 0.8820 0.8544
Te1 0.0000 0.2262 0.7511
Te2 0.0000 0.7738 0.2489
Te3 0.2500 0.3213 0.2500
Te4 0.2500 0.6787 0.7500
Te5 0.5000 0.2262 0.7489
Te6 0.5000 0.7738 0.2511
Te7 0.7500 0.3213 0.2500
Te8 0.7500 0.6787 0.7500
```

Summary:
The relative energy among the computed polymorphs comes out at 0.0 meV per atom. The uncorrected formation energy is -0.399 eV per atom.

=====

No. 12
# Ta2NiTe

Crystalline Ta2NiTe at its relaxed geometry (GGA-PBEsol, the Alexandria database).

The structure in CIF format:
```
data_Ta2NiTe
_chemical_formula_sum 'Ta2 Ni1 Te1'
_symmetry_space_group_name_H-M 'P 1'
_symmetry_Int_Tables_number 1
_symmetry_space_group_name_Hall 'P 1'
_cell_length_a 5.1645
_cell_length_b 5.1645
_cell_length_c 5.1645
_cell_angle_alpha 142.36
_cell_angle_beta 127.20
_cell_angle_gamma 66.64
loop_
_atom_site_label
_atom_site_fract_x
_atom_site_fract_y
_atom_site_fract_z
Ta1 0.0000 0.0000 0.0000
Ta2 0.7209 0.2209 0.5000
Ni1 0.4824 0.4824 0.0000
Te1 0.2655 0.7655 0.5000
```

Summary:
The uncorrected formation energy is 0.087 eV per atom.

=====

| no. | spin magnetization (μB/cell) |
| --- | --- |
| 1 | 0.00 |
| 2 | 0.00 |
| 3 | 1.20 |
| 4 | 0.00 |
| 5 | 0.00 |
| 6 | 0.00 |
| 7 | 0.00 |
| 8 | 0.00 |
| 9 | 0.00 |
| 10 | 0.00 |
| 11 | 0.00 |
| 12 | 0.00 |